A relaxed BaBe3 crystal. Source: the Alexandria database, functional GGA-PBE.

Computed properties:
energy relative to the elements	0.985	eV per atom
calculated total energy	-2.291	eV/atom
symmetry	Fm-3m
Fermi-level density of states	0.554	states/eV per atom
ΔE to the lowest computed polymorph	3.21	eV per formula unit

```
data_BaBe3
_chemical_formula_sum 'Ba1 Be3'
_cell_length_a 4.7453
_cell_length_b 4.7453
_cell_length_c 4.7453
_cell_angle_alpha 60.00
_cell_angle_beta 60.00
_cell_angle_gamma 60.00
_symmetry_space_group_name_H-M 'P 1'
_symmetry_Int_Tables_number 1
_symmetry_space_group_name_Hall 'P 1'
loop_
_atom_site_label
_atom_site_type_symbol
_atom_site_fract_x
_atom_site_fract_y
_atom_site_fract_z
_atom_site_occupancy
Ba1 Ba 0.0000 0.0000 0.0000 1
Be1 Be 0.2500 0.2500 0.2500 1
Be2 Be 0.5000 0.5000 0.5000 1
Be3 Be 0.7500 0.7500 0.7500 1
```



A relaxed Ba5Be crystal. Source: the Alexandria database, functional GGA-PBE.

Computed properties:
energy relative to the elements	0.809	eV per atom
calculated total energy	-1.415	eV/atom
symmetry	P6/mmm
Fermi-level density of states	1.742	states/eV per atom
ΔE to the lowest computed polymorph	3.55	eV per formula unit

```
data_Ba5Be
_chemical_formula_sum 'Ba5 Be1'
_cell_length_a 7.5755
_cell_length_b 7.5755
_cell_length_c 7.3272
_cell_angle_alpha 90.00
_cell_angle_beta 90.00
_cell_angle_gamma 120.00
_symmetry_space_group_name_H-M 'P 1'
_symmetry_Int_Tables_number 1
_symmetry_space_group_name_Hall 'P 1'
loop_
_atom_site_label
_atom_site_type_symbol
_atom_site_fract_x
_atom_site_fract_y
_atom_site_fract_z
_atom_site_occupancy
Ba1 Ba 0.0000 0.5000 0.0000 1
Ba2 Ba 0.3333 0.6667 0.5000 1
Ba3 Ba 0.5000 0.0000 0.0000 1
Ba4 Ba 0.5000 0.5000 0.0000 1
Ba5 Ba 0.6667 0.3333 0.5000 1
Be1 Be 0.0000 0.0000 0.5000 1
```



A relaxed BaBe2 crystal. Source: the Alexandria database, functional GGA-PBE.

Computed properties:
energy relative to the elements	0.334	eV per atom
calculated total energy	-2.791	eV/atom
symmetry	Imma
Fermi-level density of states	0.630	states/eV per atom
ΔE to the lowest computed polymorph	0.06	eV per formula unit

```
data_BaBe2
_chemical_formula_sum 'Ba2 Be4'
_cell_length_a 7.1340
_cell_length_b 7.1340
_cell_length_c 7.1340
_cell_angle_alpha 148.50
_cell_angle_beta 132.86
_cell_angle_gamma 57.80
_symmetry_space_group_name_H-M 'P 1'
_symmetry_Int_Tables_number 1
_symmetry_space_group_name_Hall 'P 1'
loop_
_atom_site_label
_atom_site_type_symbol
_atom_site_fract_x
_atom_site_fract_y
_atom_site_fract_z
_atom_site_occupancy
Ba1 Ba 0.3468 0.0968 0.2500 1
Ba2 Ba 0.6532 0.9032 0.7500 1
Be1 Be 0.0417 0.7917 0.2500 1
Be2 Be 0.1232 0.3732 0.7500 1
Be3 Be 0.8768 0.6268 0.2500 1
Be4 Be 0.9583 0.2083 0.7500 1
```



A relaxed BaBe2 crystal. Source: the Alexandria database, functional GGA-PBE.

Computed properties:
energy relative to the elements	0.587	eV per atom
calculated total energy	-2.538	eV/atom
symmetry	P6/mmm
Fermi-level density of states	0.933	states/eV per atom
ΔE to the lowest computed polymorph	0.82	eV per formula unit

```
data_BaBe2
_chemical_formula_sum 'Ba1 Be2'
_cell_length_a 4.0447
_cell_length_b 4.0447
_cell_length_c 4.9515
_cell_angle_alpha 90.00
_cell_angle_beta 90.00
_cell_angle_gamma 120.00
_symmetry_space_group_name_H-M 'P 1'
_symmetry_Int_Tables_number 1
_symmetry_space_group_name_Hall 'P 1'
loop_
_atom_site_label
_atom_site_type_symbol
_atom_site_fract_x
_atom_site_fract_y
_atom_site_fract_z
_atom_site_occupancy
Ba1 Ba 0.0000 0.0000 0.0000 1
Be1 Be 0.3333 0.6667 0.5000 1
Be2 Be 0.6667 0.3333 0.5000 1
```



A relaxed BaBe3 crystal. Source: the Alexandria database, functional GGA-PBE.

Computed properties:
energy relative to the elements	0.914	eV per atom
calculated total energy	-2.362	eV/atom
symmetry	P-6m2
Fermi-level density of states	1.017	states/eV per atom
ΔE to the lowest computed polymorph	2.92	eV per formula unit

```
data_BaBe3
_chemical_formula_sum 'Ba1 Be3'
_cell_length_a 3.5260
_cell_length_b 3.5260
_cell_length_c 7.3094
_cell_angle_alpha 90.00
_cell_angle_beta 90.00
_cell_angle_gamma 120.00
_symmetry_space_group_name_H-M 'P 1'
_symmetry_Int_Tables_number 1
_symmetry_space_group_name_Hall 'P 1'
loop_
_atom_site_label
_atom_site_type_symbol
_atom_site_fract_x
_atom_site_fract_y
_atom_site_fract_z
_atom_site_occupancy
Ba1 Ba 0.0000 0.0000 0.0000 1
Be1 Be 0.0000 0.0000 0.5000 1
Be2 Be 0.6667 0.3333 0.3559 1
Be3 Be 0.6667 0.3333 0.6441 1
```



A relaxed Ba3Be crystal. Source: the Alexandria database, functional GGA-PBE.

Computed properties:
energy relative to the elements	0.352	eV per atom
calculated total energy	-2.021	eV/atom
symmetry	Pmmn
Fermi-level density of states	1.128	states/eV per atom
ΔE to the lowest computed polymorph	0.43	eV per formula unit

```
data_Ba3Be
_chemical_formula_sum 'Ba6 Be2'
_cell_length_a 4.3255
_cell_length_b 8.2658
_cell_length_c 11.1009
_cell_angle_alpha 90.00
_cell_angle_beta 90.00
_cell_angle_gamma 90.00
_symmetry_space_group_name_H-M 'P 1'
_symmetry_Int_Tables_number 1
_symmetry_space_group_name_Hall 'P 1'
loop_
_atom_site_label
_atom_site_type_symbol
_atom_site_fract_x
_atom_site_fract_y
_atom_site_fract_z
_atom_site_occupancy
Ba1 Ba 0.2500 0.0088 0.1744 1
Ba2 Ba 0.2500 0.2500 0.5172 1
Ba3 Ba 0.2500 0.4912 0.1744 1
Ba4 Ba 0.7500 0.5088 0.8256 1
Ba5 Ba 0.7500 0.7500 0.4828 1
Ba6 Ba 0.7500 0.9912 0.8256 1
Be1 Be 0.2500 0.7500 0.6995 1
Be2 Be 0.7500 0.2500 0.3005 1
```



A relaxed BaBe crystal. Source: the Alexandria database, functional GGA-PBE.

Computed properties:
energy relative to the elements	0.371	eV per atom
calculated total energy	-2.453	eV/atom
symmetry	R-3m
Fermi-level density of states	0.624	states/eV per atom
ΔE to the lowest computed polymorph	0.02	eV per formula unit

```
data_BaBe
_chemical_formula_sum 'Ba2 Be2'
_cell_length_a 8.8499
_cell_length_b 8.8499
_cell_length_c 8.8499
_cell_angle_alpha 28.67
_cell_angle_beta 28.67
_cell_angle_gamma 28.67
_symmetry_space_group_name_H-M 'P 1'
_symmetry_Int_Tables_number 1
_symmetry_space_group_name_Hall 'P 1'
loop_
_atom_site_label
_atom_site_type_symbol
_atom_site_fract_x
_atom_site_fract_y
_atom_site_fract_z
_atom_site_occupancy
Ba1 Ba 0.0799 0.0799 0.0799 1
Ba2 Ba 0.9201 0.9201 0.9201 1
Be1 Be 0.3334 0.3334 0.3334 1
Be2 Be 0.6666 0.6666 0.6666 1
```



A relaxed BaBe crystal. Source: the Alexandria database, functional GGA-PBE.

Computed properties:
energy relative to the elements	0.683	eV per atom
calculated total energy	-2.142	eV/atom
symmetry	P4/nmm
Fermi-level density of states	0.860	states/eV per atom
ΔE to the lowest computed polymorph	0.64	eV per formula unit

```
data_BaBe
_chemical_formula_sum 'Ba2 Be2'
_cell_length_a 3.4717
_cell_length_b 3.4717
_cell_length_c 9.5056
_cell_angle_alpha 90.00
_cell_angle_beta 90.00
_cell_angle_gamma 90.00
_symmetry_space_group_name_H-M 'P 1'
_symmetry_Int_Tables_number 1
_symmetry_space_group_name_Hall 'P 1'
loop_
_atom_site_label
_atom_site_type_symbol
_atom_site_fract_x
_atom_site_fract_y
_atom_site_fract_z
_atom_site_occupancy
Ba1 Ba 0.2500 0.2500 0.2093 1
Ba2 Ba 0.7500 0.7500 0.7907 1
Be1 Be 0.2500 0.2500 0.5400 1
Be2 Be 0.7500 0.7500 0.4600 1
```